First-principles (GGA-PBE) data for a geometry-optimized InSb structure, as listed in Alexandria.

- DFT total energy (eV per cell) = -41.160
- M_tot (μB/cell) = 0.00

Cell lengths 8.1714, 8.1714, 8.1714 Å; angles 90.00, 90.00, 90.00 degrees
Positions (direct):
In: 0.0000 0.2500 0.5000
In: 0.0000 0.7500 0.5000
In: 0.2500 0.5000 0.0000
In: 0.5000 0.0000 0.2500
In: 0.5000 0.0000 0.7500
In: 0.7500 0.5000 0.0000
Sb: 0.0000 0.5000 0.2500
Sb: 0.0000 0.5000 0.7500
Sb: 0.2500 0.0000 0.5000
Sb: 0.5000 0.2500 0.0000
Sb: 0.5000 0.7500 0.0000
Sb: 0.7500 0.0000 0.5000



First-principles (GGA-PBE) data for a geometry-optimized InSb structure, as listed in Alexandria.

- DFT total energy (eV per cell) = -20.248
- M_tot (μB/cell) = 0.00

Cell lengths 6.4059, 6.4059, 8.6868 Å; angles 92.60, 92.60, 29.07 degrees
Positions (direct):
In: 0.0000 0.0000 0.0000
In: 0.0913 0.0913 0.6576
In: 0.3491 0.3491 0.6411
Sb: 0.5193 0.5193 0.3304
Sb: 0.7503 0.7503 0.9606
Sb: 0.7554 0.7554 0.3054



First-principles (GGA-PBE) data for a geometry-optimized In3Sb4 structure, as listed in Alexandria.

- DFT total energy (eV per cell) = -24.056
- M_tot (μB/cell) = 0.00

Cell lengths 13.7993, 13.7993, 13.7993 Å; angles 163.85, 163.85, 22.91 degrees
Positions (direct):
In: 0.0000 0.0000 0.0000
In: 0.2892 0.2892 0.0000
In: 0.7108 0.7108 0.0000
Sb: 0.1361 0.1361 0.0000
Sb: 0.4183 0.4183 0.0000
Sb: 0.5817 0.5817 0.0000
Sb: 0.8639 0.8639 0.0000



First-principles (GGA-PBE) data for a geometry-optimized InSb structure, as listed in Alexandria.

- DFT total energy (eV per cell) = -6.611
- M_tot (μB/cell) = 0.00

Cell lengths 3.7979, 3.7979, 3.7979 Å; angles 90.00, 90.00, 90.00 degrees
Positions (direct):
In: 0.0000 0.0000 0.0000
Sb: 0.5000 0.5000 0.5000



First-principles (GGA-PBE) data for a geometry-optimized InSb3 structure, as listed in Alexandria.

- DFT total energy (eV per cell) = -28.963
- M_tot (μB/cell) = 0.00
- energy above the lowest structure with this stoichiometry (meV per atom) = 166

Cell lengths 6.9465, 6.9465, 5.4336 Å; angles 90.00, 90.00, 120.00 degrees
Positions (direct):
In: 0.3333 0.6667 0.2500
In: 0.6667 0.3333 0.7500
Sb: 0.1544 0.3089 0.7500
Sb: 0.1544 0.8456 0.7500
Sb: 0.3089 0.1544 0.2500
Sb: 0.6911 0.8456 0.7500
Sb: 0.8456 0.1544 0.2500
Sb: 0.8456 0.6911 0.2500



First-principles (GGA-PBE) data for a geometry-optimized InSb structure, as listed in Alexandria.

- DFT total energy (eV per cell) = -13.617
- M_tot (μB/cell) = 0.00

Cell lengths 7.2870, 7.2870, 7.2870 Å; angles 37.74, 37.74, 37.74 degrees
Positions (direct):
In: 0.1142 0.1142 0.1142
In: 0.8858 0.8858 0.8858
Sb: 0.2706 0.2706 0.2706
Sb: 0.7294 0.7294 0.7294



First-principles (GGA-PBE) data for a geometry-optimized InSb3 structure, as listed in Alexandria.

- DFT total energy (eV per cell) = -29.319
- M_tot (μB/cell) = 0.00
- energy above the lowest structure with this stoichiometry (meV per atom) = 122

Cell lengths 8.4401, 8.4401, 4.1227 Å; angles 90.00, 90.00, 116.87 degrees
Positions (direct):
In: 0.0706 0.9294 0.7500
In: 0.9294 0.0706 0.2500
Sb: 0.1021 0.4561 0.2500
Sb: 0.4177 0.5823 0.7500
Sb: 0.4561 0.1021 0.7500
Sb: 0.5439 0.8979 0.2500
Sb: 0.5823 0.4177 0.2500
Sb: 0.8979 0.5439 0.7500



First-principles (GGA-PBE) data for a geometry-optimized In3Sb structure, as listed in Alexandria.

- DFT total energy (eV per cell) = -12.174
- M_tot (μB/cell) = 0.00

Cell lengths 11.2723, 11.2723, 11.2723 Å; angles 17.32, 17.32, 17.32 degrees
Positions (direct):
In: 0.0000 0.0000 0.0000
In: 0.2484 0.2484 0.2484
In: 0.7516 0.7516 0.7516
Sb: 0.5000 0.5000 0.5000



First-principles (GGA-PBE) data for a geometry-optimized InSb3 structure, as listed in Alexandria.

- DFT total energy (eV per cell) = -14.785
- M_tot (μB/cell) = 0.00
- energy above the lowest structure with this stoichiometry (meV per atom) = 90

Cell lengths 6.9546, 6.9546, 5.4726 Å; angles 112.87, 112.87, 28.08 degrees
Positions (direct):
In: 0.0000 0.0000 0.0000
Sb: 0.2491 0.2491 0.2488
Sb: 0.5000 0.5000 0.5000
Sb: 0.7509 0.7509 0.7512



First-principles (GGA-PBE) data for a geometry-optimized InSb2 structure, as listed in Alexandria.

- DFT total energy (eV per cell) = -10.465
- M_tot (μB/cell) = 0.00

Cell lengths 5.7432, 5.7432, 5.7432 Å; angles 146.61, 125.75, 65.22 degrees
Positions (direct):
In: 0.0000 0.0000 0.0000
Sb: 0.3392 0.3392 0.0000
Sb: 0.6608 0.6608 0.0000



First-principles (GGA-PBE) data for a geometry-optimized InSb2 structure, as listed in Alexandria.

- DFT total energy (eV per cell) = -21.844
- M_tot (μB/cell) = 0.00

Cell lengths 6.9421, 6.9421, 6.1097 Å; angles 90.00, 90.00, 142.62 degrees
Positions (direct):
In: 0.1582 0.8418 0.0000
In: 0.8418 0.1582 0.0000
Sb: 0.1676 0.8324 0.5000
Sb: 0.5000 0.5000 0.0000
Sb: 0.5000 0.5000 0.5000
Sb: 0.8324 0.1676 0.5000



First-principles (GGA-PBE) data for a geometry-optimized In3Sb structure, as listed in Alexandria.

- DFT total energy (eV per cell) = -12.184
- M_tot (μB/cell) = 0.00

Cell lengths 5.4410, 5.4410, 6.6723 Å; angles 93.30, 93.30, 34.54 degrees
Positions (direct):
In: 0.0000 0.0000 0.0000
In: 0.2486 0.2486 0.7530
In: 0.7514 0.7514 0.2470
Sb: 0.5000 0.5000 0.5000



First-principles (GGA-PBE) data for a geometry-optimized In3Sb structure, as listed in Alexandria.

- DFT total energy (eV per cell) = -12.003
- M_tot (μB/cell) = 0.00

Cell lengths 5.3989, 5.3989, 5.3989 Å; angles 60.00, 60.00, 60.00 degrees
Positions (direct):
In: 0.0000 0.0000 0.0000
In: 0.2500 0.2500 0.2500
In: 0.7500 0.7500 0.7500
Sb: 0.5000 0.5000 0.5000



First-principles (GGA-PBE) data for a geometry-optimized InSb3 structure, as listed in Alexandria.

- DFT total energy (eV per cell) = -28.997
- M_tot (μB/cell) = 0.00
- energy above the lowest structure with this stoichiometry (meV per atom) = 162

Cell lengths 12.4044, 12.4044, 12.4044 Å; angles 159.45, 159.45, 29.23 degrees
Positions (direct):
In: 0.1444 0.1444 0.0000
In: 0.8556 0.8556 0.0000
Sb: 0.0000 0.5000 0.5000
Sb: 0.2500 0.7500 0.5000
Sb: 0.4016 0.4016 0.0000
Sb: 0.5000 0.0000 0.5000
Sb: 0.5984 0.5984 0.0000
Sb: 0.7500 0.2500 0.5000



| no. | mass density (g cm⁻³) |
| --- | --- |
| 1 | 4.32 |
| 2 | 6.81 |
| 3 | 6.80 |
| 4 | 7.17 |
| 5 | 7.02 |
| 6 | 6.04 |
| 7 | 6.09 |
| 8 | 6.99 |
| 9 | 6.98 |
| 10 | 7.12 |
| 11 | 6.66 |
| 12 | 6.93 |
| 13 | 6.96 |
| 14 | 6.78 |